DFT (PBE-GGA) results for Ce2PrHoN4 after structural relaxation.

abc: 3.567 6.196 6.170
angles: 109.47 90.00 90.00
Site moments in Bohr magnetons follow the coordinates.
Fractional positions:
Ce 0.500 0.000 0.500  0.10
N 0.500 0.758 0.746  -0.01
Pr 0.500 0.500 0.000  0.01
Ce 0.000 0.500 0.500  0.28
N 0.500 0.242 0.254  -0.01
N 0.000 0.236 0.738  -0.01
N 0.000 0.764 0.262  -0.01
Ho 0.000 0.000 0.000  0.01

## Properties
Final energy (eV for the cell shown): -66.523